(1)
An optimized crystal structure of Ac5LaTbSm2, computed with PBE.

DOS(E_F) ... 14.76 states/eV/f.u.
Magnetization ... 0.00 μB/f.u.
Total DFT energy (no corrections) ... -0.15583 Ha/atom
DFT formation energy ... 0.153 eV per atom

Structure (CIF):
```
data_Ac5LaTbSm2
_cell_length_a 6.011
_cell_length_b 21.795
_cell_length_c 11.264
_cell_angle_alpha 90.00
_cell_angle_beta 90.00
_cell_angle_gamma 90.00
_space_group_name_H-M_alt 'C m c 21'
_space_group_IT_number 36
_space_group_name_Hall 'C 2c -2'
loop_
_atom_site_label
_atom_site_type_symbol
_atom_site_fract_x
_atom_site_fract_y
_atom_site_fract_z
Ac1 Ac 0.000 0.012 0.000
Ac2 Ac 0.000 0.276 0.309
Ac3 Ac 0.000 0.298 0.690
Ac4 Ac 0.000 0.374 0.006
Ac5 Ac 0.000 0.486 0.732
La1 La 0.000 0.408 0.448
Tb1 Tb 0.000 0.191 0.001
Sm1 Sm 0.000 0.113 0.289
Sm2 Sm 0.000 0.116 0.730
```

(2)
An optimized crystal structure of AcLaTbSm3, computed with PBE.

DOS(E_F) ... 8.86 states/eV/f.u.
Magnetization ... 0.00 μB/f.u.
Total DFT energy (no corrections) ... -0.16355 Ha/atom
DFT formation energy ... 0.187 eV per atom

Structure (CIF):
```
data_AcLaTbSm3
_cell_length_a 20.699
_cell_length_b 5.855
_cell_length_c 7.197
_cell_angle_alpha 90.00
_cell_angle_beta 90.69
_cell_angle_gamma 90.00
_space_group_name_H-M_alt 'C 1 2/m 1'
_space_group_IT_number 12
_space_group_name_Hall '-C 2y'
loop_
_atom_site_label
_atom_site_type_symbol
_atom_site_fract_x
_atom_site_fract_y
_atom_site_fract_z
Ac1 Ac 0.147 0.000 0.031
La1 La 0.053 0.500 0.276
Tb1 Tb 0.147 0.000 0.482
Sm1 Sm 0.019 0.000 0.739
Sm2 Sm 0.166 0.500 0.736
Sm3 Sm 0.218 0.500 0.260
```

(3)
An optimized crystal structure of AcLa6TbSm2, computed with PBE.

DOS(E_F) ... 19.33 states/eV/f.u.
Magnetization ... 0.00 μB/f.u.
Total DFT energy (no corrections) ... -0.16895 Ha/atom
DFT formation energy ... 0.177 eV per atom

Structure (CIF):
```
data_AcLa6TbSm2
_cell_length_a 11.741
_cell_length_b 6.894
_cell_length_c 10.109
_cell_angle_alpha 90.00
_cell_angle_beta 116.32
_cell_angle_gamma 90.00
_space_group_name_H-M_alt 'C 1 2/m 1'
_space_group_IT_number 12
_space_group_name_Hall '-C 2y'
loop_
_atom_site_label
_atom_site_type_symbol
_atom_site_fract_x
_atom_site_fract_y
_atom_site_fract_z
Ac1 Ac 0.000 0.000 0.000
La1 La 0.145 0.500 0.921
La2 La 0.190 0.272 0.332
Tb1 Tb 0.000 0.500 0.500
Sm1 Sm 0.066 0.000 0.689
```